The following is a DFT calculation (GGA-PBE) of a relaxed structure of Co2ReSnAu.

```
Co2ReSnAu
1.0
4.6326 0.0000 0.0000
0.0000 5.0247 0.0000
0.0000 0.0000 4.6326
Re Au Sn Co
1 1 1 2
Direct
0.0000 0.5000 0.0000
0.0000 0.0000 0.0000
0.5000 0.5000 0.5000
0.0000 0.0000 0.5000
0.5000 0.0000 0.0000
```

Results
* energy: -25.5 eV/cell
* energy of formation: 1.686 eV per atom
* DOS at the Fermi energy: 9.32 states/eV per cell
* magnetization: 6.1 μB/f.u.

=====

The following is a DFT calculation (GGA-PBE) of a relaxed structure of NaNd2Sb.

```
NaNd2Sb
1.0
-2.7857 1.5240 -3.1281
-0.4398 -4.7424 -1.9189
-3.9843 -0.8906 3.1142
Sb Nd Na
1 2 1
Direct
0.5000 0.5000 0.5000
0.0000 0.0000 0.5000
0.0000 0.5000 0.0000
0.5000 0.0000 0.0000
```

Results
* ΔE_f (raw): -0.45 eV/atom
* energy: -16.8 eV/cell
* DOS at the Fermi energy: 3.14 states/eV per cell
* magnetization: 0.0 μB/f.u.

=====

The following is a DFT calculation (GGA-PBE) of a relaxed structure of RbTl7Pb2.

```
RbTl7Pb2
1.0
-2.4949 1.8375 -4.4484
-0.5342 -8.1999 -3.0875
-7.5074 0.6917 4.4963
Rb Tl Pb
1 7 2
Direct
0.0000 0.0000 0.0000
0.0000 0.6421 0.3579
0.0000 0.3579 0.6421
0.5000 0.1291 0.3809
0.5000 0.8709 0.6191
0.5000 0.3809 0.1291
0.5000 0.6191 0.8709
0.5000 0.5000 0.5000
0.5000 0.7712 0.2288
0.5000 0.2288 0.7712
```

Results
* energy: -23.9 eV/cell
* energy of formation: 0.100 eV per atom
* DOS at the Fermi energy: 6.15 states/eV per cell
* magnetization: 0.0 μB/f.u.